Compound: SrBe2Te
Source: the Alexandria database
Functional: PBE-GGA
Structure: optimized geometry

```
data_SrBe2Te
_cell_length_a 9.290
_cell_length_b 3.919
_cell_length_c 5.538
_cell_angle_alpha 90.00
_cell_angle_beta 110.76
_cell_angle_gamma 90.00
_symmetry_space_group_name_H-M 'C 1 2/m 1'
_symmetry_Int_Tables_number 12
_symmetry_space_group_name_Hall '-C 2y'
loop_
_atom_site_label
_atom_site_fract_x
_atom_site_fract_y
_atom_site_fract_z
_atom_site_occupancy
Sr1 0.000 0.000 0.000 1
Be1 0.235 0.000 0.571 1
Te1 0.000 0.500 0.500 1
```

Computed properties:
**Energy relative to the elements, uncorrected**: 0.202 eV per atom